No. 1
A relaxed GaCoSn crystal. Source: the Alexandria database, functional GGA-PBE.

Properties
Its spin magnetization is 0.001 μB/f.u. As for the density of states at the Fermi level: 0.80 states/eV/atom. For the total energy, the calculation gives -0.1773 Ha/atom. The value obtained for the calculated formation energy is -0.11 eV per atom.

a = 4.2012 Å, b = 4.2012 Å, c = 4.2012 Å
α = 60.00°, β = 60.00°, γ = 60.00°
Last column: nearest neighbours and their distance in Å.
Fractional coordinates of all 3 atoms:
Co 0.2500 0.2500 0.2500  4 Sn 2.57, 4 Ga 2.57
Sn 0.0000 0.0000 0.0000  4 Co 2.57
Ga 0.5000 0.5000 0.5000  4 Co 2.57

---

No. 2
A relaxed Co2Au3 crystal. Source: the Alexandria database, functional GGA-PBE.

Properties
Its spin magnetization is 3.332 μB/f.u. As for the density of states at the Fermi level: 1.31 states/eV/atom. For the total energy, the calculation gives -0.1659 Ha/atom. Its energy above the most stable polymorph in this dataset is 0.0 meV/atom. The value obtained for the calculated formation energy is 0.29 eV per atom.

a = 11.3188 Å, b = 11.3188 Å, c = 11.3188 Å
α = 14.37°, β = 14.37°, γ = 14.37°
Last column: nearest neighbours and their distance in Å.
Fractional coordinates of all 5 atoms:
Co 0.3979 0.3979 0.3979  6 Au 2.70-2.72, 6 Co 2.83
Co 0.6021 0.6021 0.6021  6 Au 2.70-2.72, 6 Co 2.83
Au 0.0000 0.0000 0.0000  6 Co 2.72, 6 Au 2.83
Au 0.2047 0.2047 0.2047  3 Co 2.70, 6 Au 2.83
Au 0.7953 0.7953 0.7953  3 Co 2.70, 6 Au 2.83

---

No. 3
A relaxed Ac7LaNd3 crystal. Source: the Alexandria database, functional GGA-PBE.

Properties
Its spin magnetization is 0.000 μB/f.u. As for the density of states at the Fermi level: 1.55 states/eV/atom. For the total energy, the calculation gives -0.1517 Ha/atom. Its energy above the most stable polymorph in this dataset is 5.3 meV/atom. The value obtained for the calculated formation energy is 0.23 eV per atom.

a = 6.9423 Å, b = 8.3653 Å, c = 8.3653 Å
α = 83.87°, β = 84.74°, γ = 84.74°
Last column: nearest neighbours and their distance in Å.
Fractional coordinates of all 11 atoms:
Ac 0.7725 0.2344 0.2344  1 La 3.60, 3 Nd 3.64-3.67, 5 Ac 3.68-3.91
Ac 0.7406 0.9260 0.5816  7 Ac 3.68-4.04, 3 Nd 3.74-3.89
Ac 0.2594 0.4184 0.0740  7 Ac 3.68-4.04, 3 Nd 3.74-3.89
Ac 0.7406 0.5816 0.9260  7 Ac 3.68-4.04, 3 Nd 3.74-3.89
Ac 0.0000 0.5000 0.5000  2 La 3.47, 2 Nd 3.75, 2 Ac 3.84
Ac 0.2594 0.0740 0.4184  7 Ac 3.68-4.04, 3 Nd 3.74-3.89
Ac 0.2275 0.7656 0.7656  1 La 3.60, 3 Nd 3.64-3.67, 5 Ac 3.68-3.91
La 0.5000 0.5000 0.5000  4 Ac 3.47-3.60
Nd 0.0000 0.8353 0.1647  7 Ac 3.64-3.89, 3 Nd 3.68-3.93
Nd 0.5000 0.0000 0.0000  6 Ac 3.67-3.82, 4 Nd 3.93
Nd 0.0000 0.1647 0.8353  7 Ac 3.64-3.89, 3 Nd 3.68-3.93

---

No. 4
A relaxed PSe3 crystal. Source: the Alexandria database, functional GGA-PBE.

Properties
Its spin magnetization is 0.000 μB/f.u. As for the density of states at the Fermi level: 0.72 states/eV/atom. For the total energy, the calculation gives -0.1318 Ha/atom. Its energy above the most stable polymorph in this dataset is 153.1 meV/atom. The formation energy without anion corrections is 0.380 eV per atom.

a = 7.3941 Å, b = 7.3941 Å, c = 3.6255 Å
α = 90.00°, β = 90.00°, γ = 120.00°
Last column: nearest neighbours and their distance in Å.
Fractional coordinates of all 8 atoms:
P 0.3333 0.6667 0.2500  6 Se 2.61
P 0.6667 0.3333 0.7500  6 Se 2.61
Se 0.8129 0.6258 0.2500  2 P 2.61
Se 0.3742 0.1871 0.2500  2 P 2.61
Se 0.8129 0.1871 0.2500  2 P 2.61
Se 0.1871 0.3742 0.7500  2 P 2.61
Se 0.6258 0.8129 0.7500  2 P 2.61
Se 0.1871 0.8129 0.7500  2 P 2.61

---

No. 5
A relaxed Dy4ErTm5 crystal. Source: the Alexandria database, functional GGA-PBE.

Properties
Its spin magnetization is 0.000 μB/f.u. As for the density of states at the Fermi level: 1.76 states/eV/atom. For the total energy, the calculation gives -0.1645 Ha/atom. Its energy above the most stable polymorph in this dataset is 0.0 meV/atom. The value obtained for the calculated formation energy is 0.06 eV per atom.

a = 3.5153 Å, b = 6.6974 Å, c = 14.1427 Å
α = 93.36°, β = 104.20°, γ = 105.66°
Last column: nearest neighbours and their distance in Å.
Fractional coordinates of all 10 atoms:
Dy 0.3596 0.8276 0.2123  1 Er 3.38, 5 Dy 3.40-3.59, 5 Tm 3.46-3.76
Dy 0.8910 0.7033 0.8072  1 Er 3.19, 4 Tm 3.40-3.53, 4 Dy 3.40-3.52
Dy 0.6404 0.1724 0.7877  1 Er 3.38, 5 Dy 3.40-3.59, 5 Tm 3.46-3.76
Dy 0.1090 0.2967 0.1928  1 Er 3.19, 4 Tm 3.40-3.53, 4 Dy 3.40-3.52
Er 0.5000 0.0000 0.0000  4 Dy 3.19-3.38, 2 Tm 3.35, 2 Er 3.52
Tm 0.9314 0.5815 0.3862  8 Tm 3.42-3.56, 4 Dy 3.46-3.56
Tm 0.2278 0.1255 0.4165  3 Dy 3.40-3.65, 9 Tm 3.44-3.56
Tm 0.7722 0.8745 0.5835  3 Dy 3.40-3.65, 9 Tm 3.44-3.56
Tm 0.5000 0.5000 0.0000  2 Er 3.35, 2 Tm 3.52, 4 Dy 3.53-3.61
Tm 0.0686 0.4185 0.6138  8 Tm 3.42-3.56, 4 Dy 3.46-3.56

---

No. 6
A relaxed SrMg2In6 crystal. Source: the Alexandria database, functional GGA-PBE.

Properties
Its spin magnetization is 0.000 μB/f.u. As for the density of states at the Fermi level: 0.70 states/eV/atom. For the total energy, the calculation gives -0.0807 Ha/atom. Its energy above the most stable polymorph in this dataset is 299.1 meV/atom. The value obtained for the calculated formation energy is 0.17 eV per atom.

a = 9.5369 Å, b = 9.5369 Å, c = 9.5369 Å
α = 60.00°, β = 60.00°, γ = 60.00°
Last column: nearest neighbours and their distance in Å.
Fractional coordinates of all 18 atoms:
Sr 0.5000 0.5000 0.5000  6 In 3.35
Sr 0.7500 0.7500 0.7500  6 In 3.35
Mg 0.1250 0.1250 0.1250  6 In 2.93
Mg 0.1250 0.6250 0.1250  6 In 2.93
Mg 0.1250 0.1250 0.6250  6 In 2.93
Mg 0.6250 0.1250 0.1250  6 In 2.93
In 0.2513 0.2513 0.7487  2 Mg 2.93
In 0.7487 0.7487 0.2513  2 Mg 2.93
In 0.2513 0.7487 0.2513  2 Mg 2.93
In 0.2513 0.7487 0.7487  2 Mg 2.93
In 0.5013 0.5013 0.9987  2 Mg 2.93
In 0.5013 0.9987 0.9987  2 Mg 2.93
In 0.7487 0.2513 0.7487  2 Mg 2.93
In 0.9987 0.9987 0.5013  2 Mg 2.93
In 0.5013 0.9987 0.5013  2 Mg 2.93
In 0.9987 0.5013 0.5013  2 Mg 2.93
In 0.7487 0.2513 0.2513  2 Mg 2.93
In 0.9987 0.5013 0.9987  2 Mg 2.93

---

No. 7
A relaxed AgF4 crystal. Source: the Alexandria database, functional GGA-PBE.

Properties
Its spin magnetization is 1.016 μB/f.u. As for the density of states at the Fermi level: 0.38 states/eV/atom. For the total energy, the calculation gives -0.1007 Ha/atom. Its energy above the most stable polymorph in this dataset is 0.0 meV/atom. The formation energy without anion corrections is -0.672 eV per atom.

a = 6.1266 Å, b = 4.9014 Å, c = 6.0878 Å
α = 113.74°, β = 90.00°, γ = 90.00°
Last column: nearest neighbours and their distance in Å.
Fractional coordinates of all 10 atoms:
Ag 0.0000 0.0000 0.0000  4 F 1.95
Ag 0.5000 0.5000 0.0000  4 F 1.95
F 0.2703 0.3795 0.7589  1 Ag 1.95
F 0.2703 0.6205 0.2411  1 Ag 1.95
F 0.2297 0.8795 0.7589  1 Ag 1.95
F 0.7297 0.3795 0.7589  1 Ag 1.95
F 0.7703 0.1205 0.2411  1 Ag 1.95
F 0.7297 0.6205 0.2411  1 Ag 1.95
F 0.7703 0.8795 0.7589  1 Ag 1.95
F 0.2297 0.1205 0.2411  1 Ag 1.95

---

No. 8
A relaxed SiHgCl2 crystal. Source: the Alexandria database, functional GGA-PBE.

Properties
Its spin magnetization is 0.000 μB/f.u. For the total energy, the calculation gives -0.0786 Ha/atom. Its energy above the most stable polymorph in this dataset is 625.8 meV/atom. The formation energy without anion corrections is 0.215 eV per atom.

a = 4.9775 Å, b = 4.9775 Å, c = 4.9775 Å
α = 60.00°, β = 60.00°, γ = 60.00°
Last column: nearest neighbours and their distance in Å.
Fractional coordinates of all 4 atoms:
Cl 0.0000 0.0000 0.0000  4 Si 3.05, 4 Cl 3.05
Cl 0.2500 0.2500 0.2500  4 Cl 3.05, 4 Hg 3.05
Hg 0.5000 0.5000 0.5000  4 Cl 3.05, 4 Si 3.05
Si 0.7500 0.7500 0.7500  4 Hg 3.05, 4 Cl 3.05

---

Question: The highest spin magnetization belongs to which entry?
Answer: Co2Au3